Entry 1:
DFT (PBE) results for crystalline Tb4Pb2N at its relaxed geometry.

Calculated values
SG = No. 11
Final energy = -5.692 eV per atom

Structure (extended XYZ):
```
14
Lattice="-6.302 0.092 1.790 1.732 -2.170 6.209 4.106 8.199 1.719" Properties=species:S:1:pos:R:3 pbc="T T T"
Tb -4.823 -0.093 3.175
Tb -1.282 1.281 4.546
Tb -2.685 4.939 4.337
Tb 0.818 4.842 5.173
Tb -0.040 5.917 2.094
Tb 4.359 6.215 6.544
Tb -0.424 0.205 7.624
Tb 2.221 1.183 5.382
Pb 1.023 2.813 2.560
Pb -2.943 -1.323 5.946
Pb 2.479 7.445 3.773
Pb -1.486 3.309 7.159
N 0.284 0.120 5.550
N -0.748 6.002 4.168
```



Entry 2:
DFT (PBE) results for crystalline Tb6Pb2N at its relaxed geometry.

Calculated values
SG = No. 12
Final energy = -4.986 eV per atom

Structure (extended XYZ):
```
9
Lattice="5.640 0.000 -0.234 0.000 6.928 0.000 -2.554 -3.464 6.969" Properties=species:S:1:pos:R:3 pbc="T T T"
Pb 2.929 3.464 2.470
Pb 0.156 0.000 4.266
Tb 3.015 -1.761 5.060
Tb 0.070 5.225 1.676
Tb 3.015 1.761 5.060
Tb 2.820 1.750 -0.117
Tb 2.820 5.178 -0.117
Tb 0.070 1.704 1.676
N 0.000 0.000 0.000
```



Entry 3:
DFT (PBE) results for crystalline Tb2PbN at its relaxed geometry.

Calculated values
SG = No. 123
Final energy = -5.811 eV per atom

Structure (extended XYZ):
```
4
Lattice="-0.234 -3.182 0.074 0.322 -0.097 -3.174 7.850 -0.558 0.812" Properties=species:S:1:pos:R:3 pbc="T T T"
Tb 1.428 -0.102 0.148
Tb 6.422 -0.457 0.665
Pb 3.969 -1.919 -1.144
N 0.044 -1.640 -1.550
```



The highest final energy belongs to which entry? Tb6Pb2N